No. 1
{
  "formula": "RbAlPb",
  "functional": "PBE",
  "state": "relaxed",
  "lattice": [[8.659, 0.000, 0.000], [0.000, 8.659, 0.000], [0.000, 0.000, 7.883]],
  "species": ["Rb", "Rb", "Rb", "Rb", "Al", "Al", "Al", "Al", "Pb", "Pb", "Pb", "Pb"],
  "frac_coords": [[0.000, 0.339, 0.000], [0.000, 0.661, 0.500], [0.339, 0.000, 0.750], [0.661, 0.000, 0.250], [0.383, 0.383, 0.375], [0.383, 0.617, 0.125], [0.617, 0.383, 0.625], [0.617, 0.617, 0.875], [0.300, 0.500, 0.750], [0.500, 0.300, 0.000], [0.500, 0.700, 0.500], [0.700, 0.500, 0.250]],
  "mass_density_g_cm3": 3.592,
  "dft_energy_ha_per_atom": -0.0981
}



No. 2
{
  "formula": "RbAlPb",
  "functional": "PBE",
  "state": "relaxed",
  "lattice": [[3.501, 0.000, 0.000], [-0.183, 7.189, 0.000], [-1.119, -0.101, 8.579]],
  "species": ["Rb", "Rb", "Al", "Al", "Pb", "Pb"],
  "frac_coords": [[0.000, 0.000, 0.000], [0.450, 0.277, 0.494], [0.130, 0.497, 0.850], [0.660, 0.782, 0.352], [0.233, 0.783, 0.625], [0.705, 0.491, 0.122]],
  "mass_density_g_cm3": 4.916,
  "dft_energy_ha_per_atom": -0.0975
}